Compound: K2CdPt2
Source: Alexandria via LeMat-Bulk
Functional: PBE
Structure: relaxed

The space group is I4/mmm (No. 139) and the conventional cell measures 4.188, 4.188 and 14.513 Å, with angles of 90.00, 90.00 and 90.00 degrees. The inequivalent atoms are K at (0.000, 0.500, 0.250), Cd at (0.000, 0.000, 0.000) and Pt at (0.000, 0.000, 0.411).

The volume comes out at 255 Å³/cell. Its density is 7578 kg/m³. For the formation energy, the calculation gives 0.4845 eV/atom. The total energy is -2.554 eV/atom. The value obtained for the density of states at the Fermi level is 8.07 states/eV per cell.